[1]
KLiIF2: optimized geometry, PBE-GGA.

abc: 4.450 4.450 5.462
angles: 90.00 90.00 90.00
Element x y z (fractional)
K (0.000, 0.000, 0.000)
Li (0.000, 0.000, 0.500)
I (0.500, 0.500, 0.000)
F (0.000, 0.500, 0.500)
F (0.500, 0.000, 0.500)

Computed properties:
Magnetic moment   1.00 μB per formula unit


[2]
KMgI2F: optimized geometry, PBE-GGA.

abc: 6.041 6.041 3.991
angles: 90.00 90.00 90.00
Element x y z (fractional)
K (0.000, 0.000, 0.000)
Mg (0.500, 0.500, 0.500)
I (0.000, 0.500, 0.500)
I (0.500, 0.000, 0.500)
F (0.500, 0.500, 0.000)

Computed properties:
Magnetic moment   0.00 μB per formula unit


no.,ΔE_f (raw) (eV per atom),E_tot (eV per formula unit)
1,-1.474,-15.68
2,-1.833,-16.83